w | Material: Na5SnHg2
Method: DFT, GGA-PBE
State: relaxed

The structure in CIF format:
```
data_Na5SnHg2
_symmetry_space_group_name_H-M 'P 1'
_symmetry_Int_Tables_number 1
_cell_length_a 8.3867
_cell_length_b 8.3867
_cell_length_c 8.3867
_cell_angle_alpha 142.69
_cell_angle_beta 142.69
_cell_angle_gamma 53.78
loop_
_symmetry_equiv_pos_as_xyz
'x,y,z'
loop_
_atom_site_label
_atom_site_fract_x
_atom_site_fract_y
_atom_site_fract_z
Na1 0.0000 0.0000 0.0000
Na2 0.1289 0.6289 0.5000
Na3 0.3711 0.8711 0.5000
Na4 0.6289 0.1289 0.5000
Na5 0.8711 0.3711 0.5000
Sn1 0.5000 0.5000 0.0000
Hg1 0.2512 0.2512 0.0000
Hg2 0.7488 0.7488 0.0000
```

- DOS(E_F): 2.6 states/eV/f.u.
- SG: I4/mmm (139)
- Size of the total moment: 0.000 μB per formula unit

x | Material: Na5SnHg2
Method: DFT, GGA-PBE
State: relaxed

The structure in CIF format:
```
data_Na5SnHg2
_symmetry_space_group_name_H-M 'P 1'
_symmetry_Int_Tables_number 1
_cell_length_a 9.3742
_cell_length_b 9.3742
_cell_length_c 9.3742
_cell_angle_alpha 159.71
_cell_angle_beta 125.32
_cell_angle_gamma 58.93
loop_
_symmetry_equiv_pos_as_xyz
'x,y,z'
loop_
_atom_site_label
_atom_site_fract_x
_atom_site_fract_y
_atom_site_fract_z
Na1 0.0000 0.0000 0.0000
Na2 0.1613 0.3608 0.8005
Na3 0.4396 0.6392 0.8005
Na4 0.5604 0.3608 0.1995
Na5 0.8387 0.6392 0.1995
Sn1 0.5000 0.0000 0.5000
Hg1 0.1955 0.1955 0.0000
Hg2 0.8045 0.8045 0.0000
```

- DOS(E_F): 3.9 states/eV/f.u.
- SG: Immm (71)
- Size of the total moment: 0.000 μB per formula unit

Least stable: x

w | Material: Na3SnHg2
Method: DFT, GGA-PBE
State: relaxed

The structure in CIF format:
```
data_Na3SnHg2
_symmetry_space_group_name_H-M 'P 1'
_symmetry_Int_Tables_number 1
_cell_length_a 7.4419
_cell_length_b 7.4419
_cell_length_c 4.8755
_cell_angle_alpha 90.00
_cell_angle_beta 90.00
_cell_angle_gamma 145.11
loop_
_symmetry_equiv_pos_as_xyz
'x,y,z'
loop_
_atom_site_label
_atom_site_fract_x
_atom_site_fract_y
_atom_site_fract_z
Na1 0.0000 0.0000 0.0000
Na2 0.3338 0.6662 0.0000
Na3 0.6662 0.3338 0.0000
Sn1 0.5000 0.5000 0.5000
Hg1 0.1623 0.8377 0.5000
Hg2 0.8377 0.1623 0.5000
```

- DOS(E_F): 2.8 states/eV/f.u.
- SG: Cmmm (65)
- Size of the total moment: 0.000 μB per formula unit

x | Material: Na3SnHg2
Method: DFT, GGA-PBE
State: relaxed

The structure in CIF format:
```
data_Na3SnHg2
_symmetry_space_group_name_H-M 'P 1'
_symmetry_Int_Tables_number 1
_cell_length_a 8.9233
_cell_length_b 8.9233
_cell_length_c 5.0382
_cell_angle_alpha 106.31
_cell_angle_beta 106.31
_cell_angle_gamma 52.54
loop_
_symmetry_equiv_pos_as_xyz
'x,y,z'
loop_
_atom_site_label
_atom_site_fract_x
_atom_site_fract_y
_atom_site_fract_z
Na1 0.1173 0.8827 0.7500
Na2 0.2014 0.4583 0.5822
Na3 0.4583 0.2014 0.0822
Na4 0.5417 0.7986 0.9178
Na5 0.7986 0.5417 0.4178
Na6 0.8827 0.1173 0.2500
Sn1 0.3765 0.6235 0.2500
Sn2 0.6235 0.3765 0.7500
Hg1 0.0445 0.2912 0.9164
Hg2 0.2912 0.0445 0.4164
Hg3 0.7088 0.9555 0.5836
Hg4 0.9555 0.7088 0.0836
```

- DOS(E_F): 2.2 states/eV/f.u.
- SG: C2/c (15)
- Size of the total moment: 0.000 μB per formula unit

Least stable: w

w | Material: NaTlSnHg
Method: DFT, GGA-PBE
State: relaxed

The structure in CIF format:
```
data_NaTlSnHg
_symmetry_space_group_name_H-M 'P 1'
_symmetry_Int_Tables_number 1
_cell_length_a 4.3741
_cell_length_b 3.6352
_cell_length_c 6.8044
_cell_angle_alpha 90.00
_cell_angle_beta 90.07
_cell_angle_gamma 90.00
loop_
_symmetry_equiv_pos_as_xyz
'x,y,z'
loop_
_atom_site_label
_atom_site_fract_x
_atom_site_fract_y
_atom_site_fract_z
Na1 0.0000 0.0000 0.0000
Tl1 0.4998 0.5000 0.7295
Sn1 0.9994 0.0000 0.4844
Hg1 0.4991 0.5000 0.2329
```

- DOS(E_F): 1.7 states/eV/f.u.
- SG: Pm (6)
- Size of the total moment: 0.000 μB per formula unit

x | Material: NaTlSnHg
Method: DFT, GGA-PBE
State: relaxed

The structure in CIF format:
```
data_NaTlSnHg
_symmetry_space_group_name_H-M 'P 1'
_symmetry_Int_Tables_number 1
_cell_length_a 5.3170
_cell_length_b 5.3170
_cell_length_c 5.3170
_cell_angle_alpha 60.00
_cell_angle_beta 60.00
_cell_angle_gamma 60.00
loop_
_symmetry_equiv_pos_as_xyz
'x,y,z'
loop_
_atom_site_label
_atom_site_fract_x
_atom_site_fract_y
_atom_site_fract_z
Na1 0.0000 0.0000 0.0000
Tl1 0.2500 0.2500 0.2500
Sn1 0.5000 0.5000 0.5000
Hg1 0.7500 0.7500 0.7500
```

- DOS(E_F): 1.3 states/eV/f.u.
- SG: F-43m (216)
- Size of the total moment: 0.000 μB per formula unit

Least stable: w

w | Material: NaSrHg6
Method: DFT, GGA-PBE
State: relaxed

The structure in CIF format:
```
data_NaSrHg6
_symmetry_space_group_name_H-M 'P 1'
_symmetry_Int_Tables_number 1
_cell_length_a 5.3375
_cell_length_b 7.0058
_cell_length_c 5.6858
_cell_angle_alpha 90.00
_cell_angle_beta 90.00
_cell_angle_gamma 90.00
loop_
_symmetry_equiv_pos_as_xyz
'x,y,z'
loop_
_atom_site_label
_atom_site_fract_x
_atom_site_fract_y
_atom_site_fract_z
Na1 0.0000 0.0000 0.0000
Sr1 0.5000 0.5000 0.6781
Hg1 0.0000 0.2331 0.5111
Hg2 0.0000 0.5000 0.0499
Hg3 0.0000 0.7669 0.5111
Hg4 0.5000 0.0000 0.6710
Hg5 0.5000 0.2313 0.1712
Hg6 0.5000 0.7687 0.1712
```

- DOS(E_F): 3.9 states/eV/f.u.
- SG: Pmm2 (25)
- Size of the total moment: 0.000 μB per formula unit

x | Material: NaSrHg6
Method: DFT, GGA-PBE
State: relaxed

The structure in CIF format:
```
data_NaSrHg6
_symmetry_space_group_name_H-M 'P 1'
_symmetry_Int_Tables_number 1
_cell_length_a 5.3583
_cell_length_b 6.8099
_cell_length_c 6.8099
_cell_angle_alpha 60.03
_cell_angle_beta 90.00
_cell_angle_gamma 90.00
loop_
_symmetry_equiv_pos_as_xyz
'x,y,z'
loop_
_atom_site_label
_atom_site_fract_x
_atom_site_fract_y
_atom_site_fract_z
Na1 0.0000 0.0000 0.0000
Sr1 0.5000 0.3326 0.3326
Hg1 0.0000 0.5081 0.5081
Hg2 0.0000 0.5088 0.9825
Hg3 0.0000 0.9825 0.5088
Hg4 0.5000 0.3360 0.8312
Hg5 0.5000 0.8312 0.3360
Hg6 0.5000 0.8324 0.8324
```

- DOS(E_F): 3.4 states/eV/f.u.
- SG: Amm2 (38)
- Size of the total moment: 0.000 μB per formula unit

Least stable: w